[1]
Crystalline Al2ZnIr at its relaxed geometry, computed with GGA-PBEsol.

Unit cell a=2.8396 b=4.3606 c=4.4940 alpha=90.00 beta=90.00 gamma=90.00
Closest atoms and distances in Å follow each position.
Space group Pmm2 (No. 25)
Unique sites:
Al1 0.0000 0.0000 0.0000 x1  4 Zn 2.63-2.68, 4 Ir 2.66, 4 Al 2.78-2.84
Al2 0.0000 0.5000 0.3847 x1  4 Ir 2.63-2.68, 4 Zn 2.66, 4 Al 2.78-2.84
Zn1 0.5000 0.0000 0.5067 x1  8 Al 2.63-2.68, 2 Ir 2.75, 2 Zn 2.84
Ir1 0.5000 0.5000 0.8781 x1  8 Al 2.63-2.68, 2 Zn 2.75, 2 Ir 2.84

Spin magnetization = 0.00 μB per cell
Volume = 56 Å³ per cell
Uncorrected energy = -21.46 eV per formula unit
DOS(E_F) = 1.14 states/eV/cell

[2]
Crystalline Sr2ZnAg2 at its relaxed geometry, computed with GGA-PBEsol.

Unit cell a=7.7154 b=7.7154 c=4.4596 alpha=90.00 beta=90.00 gamma=90.00
Closest atoms and distances in Å follow each position.
Space group P4/mbm (No. 127)
Unique sites:
Sr1 0.1772 0.3228 0.0000 x4  6 Ag 3.09-3.26
Zn1 0.0000 0.0000 0.5000 x2  4 Ag 3.04
Ag1 0.1272 0.6272 0.5000 x4  1 Ag 2.78, 2 Zn 3.04, 2 Sr 3.09

Spin magnetization = 0.00 μB per cell
Volume = 265 Å³ per cell
Uncorrected energy = -12.68 eV per formula unit
DOS(E_F) = 4.94 states/eV/cell

[3]
Crystalline TaMn2AgHg at its relaxed geometry, computed with GGA-PBEsol.

Unit cell a=4.5349 b=4.5349 c=5.2919 alpha=90.00 beta=90.00 gamma=90.00
Closest atoms and distances in Å follow each position.
Space group P4/mmm (No. 123)
Unique sites:
Ta1 0.0000 0.0000 0.0000 x1  4 Mn 2.27
Mn1 0.0000 0.5000 0.0000 x2  2 Ta 2.27
Ag1 0.5000 0.5000 0.5000 x1  4 Hg 3.21, 8 Mn 3.48
Hg1 0.0000 0.0000 0.5000 x1  2 Ta 2.65

Spin magnetization = 4.89 μB per cell
Volume = 109 Å³ per cell
Uncorrected energy = -28.95 eV per formula unit
DOS(E_F) = 2.51 states/eV/cell

[4]
Crystalline Tl4SiCl at its relaxed geometry, computed with GGA-PBEsol.

Unit cell a=8.7242 b=8.7242 c=8.7242 alpha=90.00 beta=90.00 gamma=90.00
Closest atoms and distances in Å follow each position.
Space group F-43m (No. 216)
Unique sites:
Tl1 0.1250 0.1250 0.1250 x16  6 Tl 3.08-3.09
Si1 0.2500 0.2500 0.7500 x4  12 Tl 3.62, 4 Cl 3.78
Cl1 0.0000 0.0000 0.5000 x4  12 Tl 3.62, 4 Si 3.78

Spin magnetization = 0.00 μB per cell
Volume = 664 Å³ per cell
Uncorrected energy = -16.58 eV per formula unit
DOS(E_F) = 12.81 states/eV/cell

[5]
Crystalline YAuN2 at its relaxed geometry, computed with GGA-PBEsol.

Unit cell a=3.3590 b=3.3590 c=18.9997 alpha=90.00 beta=90.00 gamma=120.00
Closest atoms and distances in Å follow each position.
Space group R-3m (No. 166, hexagonal axes)
Unique sites:
Y1 0.0000 0.0000 0.0000 x3  2 N 2.26
Au1 0.0000 0.0000 0.5000 x3  6 N 2.14
N1 0.0000 0.0000 0.1189 x6  3 Au 2.14, 1 Y 2.26

Spin magnetization = 0.00 μB per cell
Volume = 186 Å³ per cell
Uncorrected energy = -24.94 eV per formula unit
DOS(E_F) = 7.40 states/eV/cell

[6]
Crystalline CaZnS2 at its relaxed geometry, computed with GGA-PBEsol.

Unit cell a=4.2707 b=4.2707 c=20.8162 alpha=90.00 beta=90.00 gamma=120.00
Closest atoms and distances in Å follow each position.
Space group R-3m (No. 166, hexagonal axes)
Unique sites:
Ca1 0.0000 0.0000 0.0000 x3  6 S 2.82
Zn1 0.0000 0.0000 0.5000 x3  2 S 2.11
S1 0.0000 0.0000 0.3988 x6  1 Zn 2.11

Spin magnetization = 0.00 μB per cell
Volume = 329 Å³ per cell
Uncorrected energy = -17.30 eV per formula unit
DOS(E_F) = 0.00 states/eV/cell

[7]
Crystalline LiRuSe2Br at its relaxed geometry, computed with GGA-PBEsol.

Unit cell a=4.7067 b=4.7067 c=5.4897 alpha=90.00 beta=90.00 gamma=90.00
Closest atoms and distances in Å follow each position.
Space group P4/mmm (No. 123)
Unique sites:
Li1 0.0000 0.0000 0.0000 x1  4 Br 3.33, 8 Se 3.62
Ru1 0.5000 0.5000 0.5000 x1  4 Se 2.35
Se1 0.0000 0.5000 0.5000 x2  2 Ru 2.35
Br1 0.5000 0.5000 0.0000 x1  2 Ru 2.74

Spin magnetization = 0.00 μB per cell
Volume = 122 Å³ per cell
Uncorrected energy = -22.15 eV per formula unit
DOS(E_F) = 4.20 states/eV/cell

[8]
Crystalline ZnCu2Si at its relaxed geometry, computed with GGA-PBEsol.

Unit cell a=3.1857 b=3.1857 c=4.9606 alpha=90.00 beta=90.00 gamma=90.00
Closest atoms and distances in Å follow each position.
Space group P4mm (No. 99)
Unique sites:
Zn1 0.0000 0.0000 0.0000 x1  6 Cu 2.46-2.53, 4 Si 2.65
Cu1 0.0000 0.0000 0.4967 x1  2 Zn 2.46-2.50, 4 Si 2.51, 4 Cu 2.61
Cu2 0.5000 0.5000 0.2328 x1  2 Si 2.41-2.55, 4 Zn 2.53, 4 Cu 2.61
Si1 0.5000 0.5000 0.7188 x1  6 Cu 2.41-2.55, 4 Zn 2.65

Spin magnetization = 0.00 μB per cell
Volume = 50 Å³ per cell
Uncorrected energy = -15.99 eV per formula unit
DOS(E_F) = 1.30 states/eV/cell

[9]
Crystalline OsAuSe2 at its relaxed geometry, computed with GGA-PBEsol.

Unit cell a=2.9619 b=4.6177 c=4.8616 alpha=90.00 beta=90.00 gamma=90.00
Closest atoms and distances in Å follow each position.
Space group Pmmm (No. 47)
Unique sites:
Os1 0.0000 0.0000 0.0000 x1  4 Se 2.74, 4 Au 2.85, 2 Os 2.96
Au1 0.5000 0.0000 0.5000 x1  4 Se 2.74, 4 Os 2.85, 2 Au 2.96
Se1 0.0000 0.5000 0.5000 x1  4 Au 2.74, 6 Se 2.85-2.96
Se2 0.5000 0.5000 0.0000 x1  4 Os 2.74, 6 Se 2.85-2.96

Spin magnetization = 0.00 μB per cell
Excess energy over the best structure of this formula in the dataset = 698 meV per atom
Volume = 66 Å³ per cell
Uncorrected energy = -20.40 eV per formula unit
DOS(E_F) = 2.81 states/eV/cell

[10]
Crystalline SrC6 at its relaxed geometry, computed with GGA-PBEsol.

Unit cell a=4.3213 b=4.3213 c=9.7626 alpha=90.00 beta=90.00 gamma=120.00
Closest atoms and distances in Å follow each position.
Space group P6_3/mmc (No. 194)
Unique sites:
Sr1 0.3333 0.6667 0.2500 x2  12 C 2.83
C1 0.0000 0.3334 0.0000 x12  3 C 1.44

Spin magnetization = 0.00 μB per cell
Volume = 158 Å³ per cell
Uncorrected energy = -60.43 eV per formula unit
DOS(E_F) = 4.15 states/eV/cell

[11]
Crystalline LiIrRh2 at its relaxed geometry, computed with GGA-PBEsol.

Unit cell a=3.7096 b=3.7096 c=7.5558 alpha=90.00 beta=90.00 gamma=90.00
Closest atoms and distances in Å follow each position.
Space group I-4m2 (No. 119)
Unique sites:
Li1 0.0000 0.0000 0.0000 x2  8 Rh 2.62-2.65, 4 Ir 2.65
Ir1 0.0000 0.5000 0.7500 x2  8 Rh 2.62-2.65, 4 Li 2.65
Rh1 0.0000 0.0000 0.5000 x2  4 Li 2.62, 4 Ir 2.65, 4 Rh 2.65
Rh2 0.0000 0.5000 0.2500 x2  4 Ir 2.62, 4 Li 2.65, 4 Rh 2.65

Spin magnetization = 0.00 μB per cell
Excess energy over the best structure of this formula in the dataset = 56 meV per atom
Volume = 104 Å³ per cell
Uncorrected energy = -28.18 eV per formula unit
DOS(E_F) = 7.62 states/eV/cell

[12]
Crystalline Ce2Si3Rh at its relaxed geometry, computed with GGA-PBEsol.

Unit cell a=8.1407 b=8.1407 c=4.0234 alpha=90.00 beta=90.00 gamma=120.00
Closest atoms and distances in Å follow each position.
Space group P6/mmm (No. 191)
Unique sites:
Ce1 0.0000 0.0000 0.0000 x1  12 Si 3.08
Ce2 0.0000 0.5000 0.0000 x3  4 Rh 3.09, 8 Si 3.10
Si1 0.1657 0.3314 0.5000 x6  2 Si 2.34, 1 Rh 2.36
Rh1 0.3333 0.6667 0.5000 x2  3 Si 2.36

Spin magnetization = 1.19 μB per cell
Volume = 231 Å³ per cell
Uncorrected energy = -43.91 eV per formula unit
DOS(E_F) = 13.81 states/eV/cell

> The lowest volume belongs to which entry?

ZnCu2Si

> Among the records above, which one has the lowest DOS(E_F)?

CaZnS2

> volume of number 4 (Tl4SiCl)?

664 Å³ per cell